Entry 1:
## YReNO2 (PBE)

Data for crystalline YReNO2 at its relaxed geometry.

Cell lengths 4.278, 4.278, 4.492 Å; angles 90.00, 90.00, 90.00 degrees
Element x y z (fractional)
Y (0.000, 0.000, 0.000)
Re (0.500, 0.500, 0.500)
N (0.000, 0.000, 0.500)
O (0.000, 0.500, 0.000)
O (0.500, 0.000, 0.000)

Fermi-level density of states: 4.39 states/eV/cell
crystal system: tetragonal
SG: P4/mmm (123)



Entry 2:
## YReN2O (PBE)

Data for crystalline YReN2O at its relaxed geometry.

Cell lengths 3.922, 3.922, 3.949 Å; angles 90.00, 90.00, 90.00 degrees
Element x y z (fractional)
Y (0.000, 0.000, 0.000)
Re (0.500, 0.500, 0.500)
N (0.000, 0.500, 0.500)
N (0.500, 0.000, 0.500)
O (0.500, 0.500, 0.000)

Fermi-level density of states: 1.09 states/eV/cell
crystal system: tetragonal
SG: P4/mmm (123)



Entry 3:
## YReNO2 (PBE)

Data for crystalline YReNO2 at its relaxed geometry.

Cell lengths 3.984, 3.984, 3.888 Å; angles 90.00, 90.00, 90.00 degrees
Element x y z (fractional)
Y (0.000, 0.000, 0.000)
Re (0.500, 0.500, 0.500)
N (0.500, 0.500, 0.000)
O (0.000, 0.500, 0.500)
O (0.500, 0.000, 0.500)

Fermi-level density of states: 1.82 states/eV/cell
crystal system: tetragonal
SG: P4/mmm (123)



Entry 4:
## YReN2O (PBE)

Data for crystalline YReN2O at its relaxed geometry.

Cell lengths 4.452, 4.452, 4.209 Å; angles 90.00, 90.00, 90.00 degrees
Element x y z (fractional)
Y (0.000, 0.000, 0.000)
Re (0.500, 0.500, 0.500)
N (0.000, 0.500, 0.000)
N (0.500, 0.000, 0.000)
O (0.000, 0.000, 0.500)

Fermi-level density of states: 3.21 states/eV/cell
crystal system: tetragonal
SG: P4/mmm (123)



Entry 5:
## ZnReNO2 (PBE)

Data for crystalline ZnReNO2 at its relaxed geometry.

Cell lengths 3.755, 3.755, 3.919 Å; angles 90.00, 90.00, 90.00 degrees
Element x y z (fractional)
Zn (0.000, 0.000, 0.000)
Re (0.500, 0.500, 0.500)
N (0.000, 0.000, 0.500)
O (0.000, 0.500, 0.000)
O (0.500, 0.000, 0.000)

Fermi-level density of states: 3.65 states/eV/cell
crystal system: tetragonal
SG: P4/mmm (123)



Entry 6:
## ZnReNO2 (PBE)

Data for crystalline ZnReNO2 at its relaxed geometry.

Cell lengths 3.845, 3.845, 3.994 Å; angles 90.00, 90.00, 90.00 degrees
Element x y z (fractional)
Zn (0.000, 0.000, 0.000)
Re (0.500, 0.500, 0.500)
N (0.500, 0.500, 0.000)
O (0.000, 0.500, 0.500)
O (0.500, 0.000, 0.500)

Fermi-level density of states: 2.54 states/eV/cell
crystal system: tetragonal
SG: P4/mmm (123)



Entry 7:
## RhN3O (PBE)

Data for crystalline RhN3O at its relaxed geometry.

Cell lengths 3.856, 3.856, 3.856 Å; angles 90.00, 90.00, 90.00 degrees
Element x y z (fractional)
Rh (0.000, 0.000, 0.000)
N (0.000, 0.000, 0.500)
N (0.000, 0.500, 0.000)
N (0.500, 0.000, 0.000)
O (0.500, 0.500, 0.500)

Fermi-level density of states: 2.52 states/eV/cell
crystal system: cubic
SG: Pm-3m (221)



Entry 8:
## RhN2O2 (PBE)

Data for crystalline RhN2O2 at its relaxed geometry.

Cell lengths 5.427, 3.132, 9.154 Å; angles 90.00, 91.30, 90.00 degrees
Element x y z (fractional)
Rh (0.000, 0.000, 0.000)
Rh (0.500, 0.500, 0.000)
N (0.000, 0.000, 0.439)
N (0.000, 0.000, 0.561)
N (0.500, 0.500, 0.439)
N (0.500, 0.500, 0.561)
O (0.171, 0.500, 0.100)
O (0.329, 0.000, 0.900)
O (0.671, 0.000, 0.100)
O (0.829, 0.500, 0.900)

Fermi-level density of states: 8.15 states/eV/cell
crystal system: monoclinic
SG: C2/m (12)
polymorph energy (0 for the lowest one): 0.000 eV per formula unit



Values of uncorrected energy, in order: -35.100; -45.574; -44.034; -34.277; -26.803; -34.218; -26.089; -71.037, all in eV per cell.
Values of total magnetization, in order: 2.979; 0.000; 0.000; 1.992; 2.888; 0.000; 3.554; 0.002, all in μB per cell.